# Er2SCl2 | the Alexandria database | GGA-PBE | optimized geometry
data_Er2SCl2
_chemical_formula_sum 'Er4 S2 Cl4'
_symmetry_space_group_name_H-M 'C 1 2/m 1'
_symmetry_Int_Tables_number 12
_cell_length_a 6.678
_cell_length_b 3.857
_cell_length_c 10.651
_cell_angle_alpha 90.00
_cell_angle_beta 103.43
_cell_angle_gamma 90.00
loop_
_symmetry_equiv_pos_as_xyz
'x,y,z'
'-x,-y,-z'
'-x,y,-z'
'x,-y,z'
'x+1/2,y+1/2,z'
'-x+1/2,-y+1/2,-z'
'-x+1/2,y+1/2,-z'
'x+1/2,-y+1/2,z'
loop_
_atom_site_label
_atom_site_type_symbol
_atom_site_fract_x
_atom_site_fract_y
_atom_site_fract_z
Er1 Er 0.218 0.000 0.139
S1 S 0.000 0.500 0.000
Cl1 Cl 0.056 0.000 0.701
# Formation energy from raw total energies   -2.008 eV/atom
# Electronic total energy   -53.97 eV for the cell shown
# Size of the total moment   0.00 μB per formula unit
# Mass density   5.445 Mg/m³

# PuP12Os4 | the Alexandria database | GGA-PBE | optimized geometry
data_PuP12Os4
_chemical_formula_sum 'Pu2 P24 Os8'
_symmetry_space_group_name_H-M 'I m -3'
_symmetry_Int_Tables_number 204
_symmetry_space_group_name_Hall '-I 2 2 3'
_cell_length_a 8.106
_cell_length_b 8.106
_cell_length_c 8.106
_cell_angle_alpha 90.00
_cell_angle_beta 90.00
_cell_angle_gamma 90.00
loop_
_atom_site_label
_atom_site_type_symbol
_atom_site_fract_x
_atom_site_fract_y
_atom_site_fract_z
Pu1 Pu 0.000 0.000 0.000
P1 P 0.000 0.355 0.142
Os1 Os 0.250 0.250 0.250
# Electronic total energy   -267.24 eV for the cell shown
# Size of the total moment   4.30 μB per formula unit
# Formation energy   -0.5560 eV/atom
# Mass density   8.584 Mg/m³

Among the records above, which one has the highest size of the total moment?
PuP12Os4

Which formula does entry 2 have?
PuP12Os4

Among the records above, which one has the lowest electronic total energy?
PuP12Os4